P | LaDyAgHg after structural relaxation. Source: Alexandria, functional PBE.

Properties
Magnetic moment ... 0.21 μB per cell
Space-group type ... P4mm, No. 99

a = 3.736 Å, b = 3.736 Å, c = 7.681 Å
α = 90.00°, β = 90.00°, γ = 90.00°
Each line ends with the local moment (μB).
Fractional positions:
1 La 0.500 0.500 0.110  0.10
2 Dy 0.500 0.500 0.599  0.00
3 Ag 0.000 0.000 0.384  0.00
4 Hg 0.000 0.000 0.834  0.00

=====

Q | LaDyAgHg after structural relaxation. Source: Alexandria, functional PBE.

Properties
Magnetic moment ... 0.00 μB per cell
Space-group type ... F-43m, No. 216

a = 5.345 Å, b = 5.345 Å, c = 5.345 Å
α = 60.00°, β = 60.00°, γ = 60.00°
Fractional positions:
1 La 0.000 0.000 0.000
2 Hg 0.250 0.250 0.250
3 Ag 0.750 0.750 0.750
4 Dy 0.500 0.500 0.500

=====

Which is most stable, and by how much? P, by 11 meV per atom.

=====

P | PrDyAgHg after structural relaxation. Source: Alexandria, functional PBE.

Properties
Magnetic moment ... 0.00 μB per cell
Space-group type ... F-43m, No. 216

a = 5.308 Å, b = 5.308 Å, c = 5.308 Å
α = 60.00°, β = 60.00°, γ = 60.00°
Fractional positions:
1 Pr 0.500 0.500 0.500
2 Hg 0.750 0.750 0.750
3 Ag 0.250 0.250 0.250
4 Dy 0.000 0.000 0.000

=====

Q | PrDyAgHg after structural relaxation. Source: Alexandria, functional PBE.

Properties
Magnetic moment ... 0.24 μB per cell
Space-group type ... P4mm, No. 99

a = 3.727 Å, b = 3.727 Å, c = 7.592 Å
α = 90.00°, β = 90.00°, γ = 90.00°
Each line ends with the local moment (μB).
Fractional positions:
1 Pr 0.500 0.500 0.111  0.12
2 Dy 0.500 0.500 0.600  0.00
3 Ag 0.000 0.000 0.380  0.00
4 Hg 0.000 0.000 0.838  0.00

=====

Which is most stable, and by how much? Q, by 7 meV per atom.

=====

P | DyHo3Ag2 after structural relaxation. Source: Alexandria, functional PBE.

Properties
Magnetic moment ... 0.00 μB per cell
Space-group type ... Ibam, No. 72

a = 7.022 Å, b = 7.369 Å, c = 8.620 Å
α = 115.30°, β = 114.04°, γ = 90.00°
Fractional positions:
1 Dy 0.000 0.500 0.000
2 Dy 0.000 0.000 0.000
3 Ho 0.500 0.250 0.000
4 Ho 0.500 0.750 0.000
5 Ho 0.772 0.022 0.543
6 Ho 0.228 0.478 0.457
7 Ho 0.228 0.978 0.457
8 Ho 0.772 0.522 0.543
9 Ag 0.558 0.358 0.715
10 Ag 0.843 0.142 0.285
11 Ag 0.157 0.858 0.715
12 Ag 0.442 0.642 0.285

=====

Q | DyHo3Ag2 after structural relaxation. Source: Alexandria, functional PBE.

Properties
Magnetic moment ... 0.00 μB per cell
Space-group type ... P4/mmm, No. 123

a = 3.602 Å, b = 3.602 Å, c = 12.220 Å
α = 90.00°, β = 90.00°, γ = 90.00°
Fractional positions:
1 Dy 0.500 0.500 0.500
2 Ho 0.000 0.000 0.000
3 Ho 0.000 0.000 0.702
4 Ho 0.000 0.000 0.298
5 Ag 0.500 0.500 0.851
6 Ag 0.500 0.500 0.149

=====

Which is most stable, and by how much? Q, by 233 meV per atom.

=====

P | DyHoTmAg after structural relaxation. Source: Alexandria, functional PBE.

Properties
Magnetic moment ... 0.00 μB per cell
Space-group type ... P4mm, No. 99

a = 3.531 Å, b = 3.531 Å, c = 8.816 Å
α = 90.00°, β = 90.00°, γ = 90.00°
Fractional positions:
1 Dy 0.000 0.000 0.073
2 Ho 0.500 0.500 0.787
3 Tm 0.500 0.500 0.358
4 Ag 0.000 0.000 0.567

=====

Q | DyHoTmAg after structural relaxation. Source: Alexandria, functional PBE.

Properties
Magnetic moment ... 0.00 μB per cell
Space-group type ... F-43m, No. 216

a = 5.338 Å, b = 5.338 Å, c = 5.338 Å
α = 60.00°, β = 60.00°, γ = 60.00°
Fractional positions:
1 Tm 0.750 0.750 0.750
2 Ho 0.500 0.500 0.500
3 Ag 0.250 0.250 0.250
4 Dy 0.000 0.000 0.000

=====

Which is most stable, and by how much? P, by 186 meV per atom.